(1)
Below is a relaxed structure of Nd3Dy7Sc2, with properties calculated at the PBE-GGA level. Values from VASP.

Structure (Quantum ESPRESSO input):
```
&SYSTEM
  ibrav = 0, nat = 12, ntyp = 3
/
ATOMIC_SPECIES
Sc 44.96 Sc.upf
Nd 144.24 Nd.upf
Dy 162.50 Dy.upf
ATOMIC_POSITIONS crystal
Sc 0.639 0.500 0.275
Sc 0.361 0.500 0.725
Nd 0.500 0.500 0.000
Nd 0.171 0.000 0.340
Nd 0.829 0.000 0.660
Dy 0.930 0.500 0.862
Dy 0.410 0.000 0.823
Dy 0.716 0.500 0.430
Dy 0.000 0.000 0.000
Dy 0.590 0.000 0.177
Dy 0.070 0.500 0.138
Dy 0.284 0.500 0.570
CELL_PARAMETERS angstrom
3.555 0.000 -0.466
0.000 5.519 0.000
0.846 0.000 20.259
```

Results
SG: P2/m
energy of formation: 0.236 eV/atom


(2)
Below is a relaxed structure of Dy3Co6Si5, with properties calculated at the PBE-GGA level. Values from VASP.

Structure (Quantum ESPRESSO input):
```
&SYSTEM
  ibrav = 0, nat = 28, ntyp = 3
/
ATOMIC_SPECIES
Dy 162.50 Dy.upf
Co 58.93 Co.upf
Si 28.09 Si.upf
ATOMIC_POSITIONS crystal
Dy 0.500 0.744 0.160
Dy 0.000 0.248 0.000
Dy 0.000 0.256 0.340
Dy 0.000 0.256 0.660
Dy 0.500 0.752 0.500
Dy 0.500 0.744 0.840
Co 0.500 0.017 0.000
Co 0.500 0.497 0.000
Co 0.000 0.503 0.500
Co 0.500 0.991 0.329
Co 0.500 0.991 0.671
Co 0.000 0.597 0.698
Co 0.000 0.597 0.302
Co 0.500 0.403 0.198
Co 0.500 0.403 0.802
Co 0.000 0.009 0.171
Co 0.000 0.009 0.829
Co 0.000 0.983 0.500
Si 0.000 0.510 0.880
Si 0.000 0.855 0.327
Si 0.000 0.510 0.120
Si 0.500 0.106 0.500
Si 0.000 0.855 0.673
Si 0.500 0.490 0.380
Si 0.500 0.145 0.173
Si 0.000 0.894 0.000
Si 0.500 0.145 0.827
Si 0.500 0.490 0.620
CELL_PARAMETERS angstrom
-2.239 3.057 -0.613
-7.415 -5.661 -1.140
-2.245 0.644 11.409
```

Results
raw formation energy: -0.708 eV/atom
SG: Pmmn


| no. | uncorrected energy (eV per formula unit) | size of the total moment (μB/f.u.) |
| --- | --- | --- |
| 1 | -56.3 | 0.012 |
| 2 | -93.5 | 0.000 |